An optimized crystal structure of CaNiO. Source: Alexandria, functional PBE+U.

Summary:
VASP energy: -4.342 eV per atom
N(E_F): 1.34 states/eV/cell

Lattice parameters (Å, degrees): 5.7982 5.7982 5.5925 90.00 90.00 147.88
Element x y z (fractional)
Ca (0.0836, 0.9164, 0.7500)
Ca (0.9164, 0.0836, 0.2500)
Ni (0.3589, 0.6411, 0.7500)
Ni (0.6411, 0.3589, 0.2500)
O (0.5000, 0.5000, 0.0000)
O (0.5000, 0.5000, 0.5000)